## Cd2GaPt2 (meta-GGA SCAN)

Data for Cd2GaPt2 at its PBEsol-relaxed geometry.

a = 4.199 Å, b = 6.495 Å, c = 6.495 Å
α = 90.00°, β = 90.00°, γ = 90.00°
Atoms (fractional coordinates):
Ga (0.000, 0.000, 0.000)
Ga (0.000, 0.500, 0.500)
Pt (0.000, 0.351, 0.851)
Pt (0.000, 0.851, 0.649)
Pt (0.000, 0.649, 0.149)
Pt (0.000, 0.149, 0.351)
Cd (0.500, 0.158, 0.658)
Cd (0.500, 0.658, 0.842)
Cd (0.500, 0.842, 0.342)
Cd (0.500, 0.342, 0.158)

Energy relative to the elements   -0.4257 eV per atom



## BaMnAl3 (meta-GGA SCAN)

Data for BaMnAl3 at its PBEsol-relaxed geometry.

a = 4.723 Å, b = 4.723 Å, c = 4.723 Å
α = 90.00°, β = 90.00°, γ = 90.00°
Atoms (fractional coordinates):
Mn (0.000, 0.000, 0.000)
Ba (0.500, 0.500, 0.500)
Al (0.000, 0.500, 0.000)
Al (0.000, 0.000, 0.500)
Al (0.500, 0.000, 0.000)

Energy relative to the elements   -0.1526 eV per atom



## NaSn (meta-GGA SCAN)

Data for NaSn at its PBEsol-relaxed geometry.

a = 10.267 Å, b = 11.282 Å, c = 10.267 Å
α = 62.93°, β = 90.00°, γ = 117.07°
Atoms (fractional coordinates):
Na (0.125, 0.750, 0.502)
Na (0.002, 0.250, 0.625)
Na (0.248, 0.250, 0.125)
Na (0.625, 0.750, 0.748)
Na (0.625, 0.750, 0.248)
Na (0.748, 0.250, 0.125)
Na (0.502, 0.250, 0.625)
Na (0.125, 0.750, 0.002)
Na (0.624, 0.500, 0.124)
Na (0.374, 0.000, 0.126)
Na (0.626, 0.000, 0.874)
Na (0.876, 0.500, 0.376)
Na (0.126, 0.000, 0.626)
Na (0.376, 0.500, 0.624)
Na (0.124, 0.500, 0.876)
Na (0.874, 0.000, 0.374)
Sn (0.934, 0.124, 0.007)
Sn (0.881, 0.624, 0.816)
Sn (0.743, 0.624, 0.560)
Sn (0.316, 0.376, 0.381)
Sn (0.060, 0.376, 0.243)
Sn (0.507, 0.876, 0.434)
Sn (0.369, 0.876, 0.690)
Sn (0.190, 0.124, 0.869)
Sn (0.816, 0.376, 0.743)
Sn (0.869, 0.876, 0.934)
Sn (0.007, 0.876, 0.190)
Sn (0.434, 0.124, 0.369)
Sn (0.690, 0.124, 0.507)
Sn (0.243, 0.624, 0.316)
Sn (0.381, 0.624, 0.060)
Sn (0.560, 0.376, 0.881)

Energy relative to the elements   -0.2730 eV per atom



## LaCrBr2 (meta-GGA SCAN)

Data for LaCrBr2 at its PBEsol-relaxed geometry.

a = 4.120 Å, b = 4.120 Å, c = 8.682 Å
α = 76.28°, β = 76.28°, γ = 60.00°
Each line ends with the local moment (μB).
Atoms (fractional coordinates):
Br (0.985, 0.985, 0.046)  0.01
Br (0.779, 0.779, 0.662)  0.08
Cr (0.495, 0.495, 0.516)  4.15
La (0.241, 0.241, 0.276)  0.11

Offset from the most stable computed form   0 meV per atom
Formation energy from raw total energies   -0.928 eV per atom



What did the second record say?
## BaMnAl3 (meta-GGA SCAN)

Data for BaMnAl3 at its PBEsol-relaxed geometry.

a = 4.723 Å, b = 4.723 Å, c = 4.723 Å
α = 90.00°, β = 90.00°, γ = 90.00°
Atoms (fractional coordinates):
Mn (0.000, 0.000, 0.000)
Ba (0.500, 0.500, 0.500)
Al (0.000, 0.500, 0.000)
Al (0.000, 0.000, 0.500)
Al (0.500, 0.000, 0.000)

Energy relative to the elements   -0.1526 eV per atom



Copy entry 3 word for word.
## NaSn (meta-GGA SCAN)

Data for NaSn at its PBEsol-relaxed geometry.

a = 10.267 Å, b = 11.282 Å, c = 10.267 Å
α = 62.93°, β = 90.00°, γ = 117.07°
Atoms (fractional coordinates):
Na (0.125, 0.750, 0.502)
Na (0.002, 0.250, 0.625)
Na (0.248, 0.250, 0.125)
Na (0.625, 0.750, 0.748)
Na (0.625, 0.750, 0.248)
Na (0.748, 0.250, 0.125)
Na (0.502, 0.250, 0.625)
Na (0.125, 0.750, 0.002)
Na (0.624, 0.500, 0.124)
Na (0.374, 0.000, 0.126)
Na (0.626, 0.000, 0.874)
Na (0.876, 0.500, 0.376)
Na (0.126, 0.000, 0.626)
Na (0.376, 0.500, 0.624)
Na (0.124, 0.500, 0.876)
Na (0.874, 0.000, 0.374)
Sn (0.934, 0.124, 0.007)
Sn (0.881, 0.624, 0.816)
Sn (0.743, 0.624, 0.560)
Sn (0.316, 0.376, 0.381)
Sn (0.060, 0.376, 0.243)
Sn (0.507, 0.876, 0.434)
Sn (0.369, 0.876, 0.690)
Sn (0.190, 0.124, 0.869)
Sn (0.816, 0.376, 0.743)
Sn (0.869, 0.876, 0.934)
Sn (0.007, 0.876, 0.190)
Sn (0.434, 0.124, 0.369)
Sn (0.690, 0.124, 0.507)
Sn (0.243, 0.624, 0.316)
Sn (0.381, 0.624, 0.060)
Sn (0.560, 0.376, 0.881)

Energy relative to the elements   -0.2730 eV per atom